# 1
## NaEuO2 (SCAN)

Data for a crystal of NaEuO2 relaxed with PBEsol.

formation energy from raw total energies	-10.05	eV per formula unit
E_tot	-1.478	Ry/atom

```
data_NaEuO2
_space_group_name_H-M_alt 'I 41/a m d'
_space_group_IT_number 141
_cell_length_a 4.6678
_cell_length_b 4.6678
_cell_length_c 10.4560
_cell_angle_alpha 90.00
_cell_angle_beta 90.00
_cell_angle_gamma 90.00
loop_
_space_group_symop_operation_xyz
'x,y,z'
'-x,-y,-z'
'-y+1/4,x+3/4,z+1/4'
'y+1/4,-x+3/4,-z+1/4'
'-x+1/2,-y,z+1/2'
'x+1/2,y,-z+1/2'
'y+1/4,-x+1/4,z+3/4'
'-y+1/4,x+1/4,-z+3/4'
'x,-y,-z'
'-x,y,z'
'-y+1/4,-x+1/4,-z+3/4'
'y+1/4,x+1/4,z+3/4'
'-x+1/2,y,-z+1/2'
'x+1/2,-y,z+1/2'
'y+1/4,x+3/4,-z+1/4'
'-y+1/4,-x+3/4,z+1/4'
'x+1/2,y+1/2,z+1/2'
'-x+1/2,-y+1/2,-z+1/2'
'-y+3/4,x+1/4,z+3/4'
'y+3/4,-x+1/4,-z+3/4'
'-x,-y+1/2,z'
'x,y+1/2,-z'
'y+3/4,-x+3/4,z+1/4'
'-y+3/4,x+3/4,-z+1/4'
'x+1/2,-y+1/2,-z+1/2'
'-x+1/2,y+1/2,z+1/2'
'-y+3/4,-x+3/4,-z+1/4'
'y+3/4,x+3/4,z+1/4'
'-x,y+1/2,-z'
'x,-y+1/2,z'
'y+3/4,x+1/4,-z+3/4'
'-y+3/4,-x+1/4,z+3/4'
loop_
_atom_site_label
_atom_site_type_symbol
_atom_site_fract_x
_atom_site_fract_y
_atom_site_fract_z
_atom_site_occupancy
Na1 Na 0.0000 0.2500 0.3750 1
Eu1 Eu 0.0000 0.2500 0.8750 1
O1 O 0.0000 0.2500 0.0965 1
```


# 2
## Cs3CoSn (SCAN)

Data for a crystal of Cs3CoSn relaxed with PBEsol.

E_tot	-2.407	Ry/atom
formation enthalpy at 0 K	582	meV per atom

```
data_Cs3CoSn
_space_group_name_H-M_alt 'P m -3 m'
_space_group_IT_number 221
_space_group_name_Hall '-P 4 2 3'
_cell_length_a 6.2064
_cell_length_b 6.2064
_cell_length_c 6.2064
_cell_angle_alpha 90.00
_cell_angle_beta 90.00
_cell_angle_gamma 90.00
loop_
_atom_site_label
_atom_site_type_symbol
_atom_site_fract_x
_atom_site_fract_y
_atom_site_fract_z
_atom_site_occupancy
Cs1 Cs 0.0000 0.0000 0.5000 1
Co1 Co 0.0000 0.0000 0.0000 1
Sn1 Sn 0.5000 0.5000 0.5000 1
```